(1)
Here is an optimized crystal structure of CePr2Th from Alexandria via LeMat-Bulk. Energies are from GGA-PBE.

Geometry as CIF:
```
data_CePr2Th
_symmetry_space_group_name_H-M 'P 4/m m m'
_symmetry_Int_Tables_number 123
_symmetry_space_group_name_Hall '-P 4 2'
_cell_length_a 3.5720
_cell_length_b 3.5720
_cell_length_c 10.5306
_cell_angle_alpha 90.00
_cell_angle_beta 90.00
_cell_angle_gamma 90.00
loop_
_atom_site_label
_atom_site_type_symbol
_atom_site_fract_x
_atom_site_fract_y
_atom_site_fract_z
Ce1 Ce 0.0000 0.0000 0.0000
Pr1 Pr 0.5000 0.5000 0.2530
Th1 Th 0.0000 0.0000 0.5000
```

Calculated values
- total DFT energy (no corrections) (eV/f.u.) = -22.5
- formation enthalpy at 0 K (eV/atom) = 0.11

=====

(2)
Here is an optimized crystal structure of CePrTh from Alexandria via LeMat-Bulk. Energies are from GGA-PBE.

Geometry as CIF:
```
data_CePrTh
_symmetry_space_group_name_H-M 'P 4/n m m'
_symmetry_Int_Tables_number 129
_cell_length_a 3.5503
_cell_length_b 3.5503
_cell_length_c 15.1299
_cell_angle_alpha 90.00
_cell_angle_beta 90.00
_cell_angle_gamma 90.00
loop_
_symmetry_equiv_pos_as_xyz
'x,y,z'
'-x,-y,-z'
'-y+1/2,x,z'
'y+1/2,-x,-z'
'-x+1/2,-y+1/2,z'
'x+1/2,y+1/2,-z'
'y,-x+1/2,z'
'-y,x+1/2,-z'
'x+1/2,-y,-z'
'-x+1/2,y,z'
'-y,-x,-z'
'y,x,z'
'-x,y+1/2,-z'
'x,-y+1/2,z'
'y+1/2,x+1/2,-z'
'-y+1/2,-x+1/2,z'
loop_
_atom_site_label
_atom_site_type_symbol
_atom_site_fract_x
_atom_site_fract_y
_atom_site_fract_z
Ce1 Ce 0.2500 0.2500 0.2396
Pr1 Pr 0.2500 0.2500 0.5933
Th1 Th 0.2500 0.2500 0.9177
```

Calculated values
- total DFT energy (no corrections) (eV/f.u.) = -18.0
- formation enthalpy at 0 K (eV/atom) = 0.05